LiHoIrRu: optimized geometry, PBE-GGA.

Output
The calculation puts the calculated total energy at -0.4605 Ry/atom. The energy of formation comes out at -42 kJ/mol of formula units. As for the space group: F-43m (216).

Cell: 4.535 4.535 4.535 Å, 60.00 60.00 60.00°
Fractional positions:
1 Li 0.000 0.000 0.000
2 Ho 0.750 0.750 0.750
3 Ir 0.250 0.250 0.250
4 Ru 0.500 0.500 0.500